# 1
TlIrW | PBE-GGA | optimized geometry

```
data_TlIrW
_space_group_name_H-M_alt 'I 4 m m'
_space_group_IT_number 107
_space_group_name_Hall 'I 4 -2'
_cell_length_a 2.957
_cell_length_b 2.957
_cell_length_c 12.300
_cell_angle_alpha 90.00
_cell_angle_beta 90.00
_cell_angle_gamma 90.00
loop_
_atom_site_label
_atom_site_type_symbol
_atom_site_fract_x
_atom_site_fract_y
_atom_site_fract_z
Tl1 Tl 0.000 0.000 0.000
Ir1 Ir 0.000 0.000 0.684
W1 W 0.000 0.000 0.316
```

Values from the calculation:
- theoretical density (g/cm3) = 17.93
- total magnetization (μB/atom) = 0.0000
- energy of formation from the pure elements (eV per atom) = 0.4062

=====

# 2
Y2Zn3Ga5 | PBE-GGA | optimized geometry

```
data_Y2Zn3Ga5
_space_group_name_H-M_alt 'I b a m'
_space_group_IT_number 72
_space_group_name_Hall '-I 2 2c'
_cell_length_a 10.770
_cell_length_b 11.788
_cell_length_c 5.870
_cell_angle_alpha 90.00
_cell_angle_beta 90.00
_cell_angle_gamma 90.00
loop_
_atom_site_label
_atom_site_type_symbol
_atom_site_fract_x
_atom_site_fract_y
_atom_site_fract_z
Y1 Y 0.248 0.125 0.000
Zn1 Zn 0.000 0.500 0.250
Zn2 Zn 0.135 0.127 0.500
Ga1 Ga 0.000 0.000 0.250
Ga2 Ga 0.000 0.254 0.250
Ga3 Ga 0.143 0.380 0.000
```

Values from the calculation:
- theoretical density (g/cm3) = 6.44
- total magnetization (μB/atom) = 0.0000
- energy of formation from the pure elements (eV per atom) = -0.4189

=====

# 3
DyTmZr2 | PBE-GGA | optimized geometry

```
data_DyTmZr2
_space_group_name_H-M_alt 'P 4/m m m'
_space_group_IT_number 123
_space_group_name_Hall '-P 4 2'
_cell_length_a 4.691
_cell_length_b 4.691
_cell_length_c 4.773
_cell_angle_alpha 90.00
_cell_angle_beta 90.00
_cell_angle_gamma 90.00
loop_
_atom_site_label
_atom_site_type_symbol
_atom_site_fract_x
_atom_site_fract_y
_atom_site_fract_z
Dy1 Dy 0.000 0.000 0.000
Tm1 Tm 0.500 0.500 0.000
Zr1 Zr 0.000 0.500 0.500
```

Values from the calculation:
- theoretical density (g/cm3) = 8.12
- total magnetization (μB/atom) = 0.0000
- offset from the most stable computed form (eV/f.u.) = 0.15
- energy of formation from the pure elements (eV per atom) = 0.1078

=====

# 4
Mn2NbW | PBE-GGA | optimized geometry

```
data_Mn2NbW
_space_group_name_H-M_alt 'I -4 2 d'
_space_group_IT_number 122
_space_group_name_Hall 'I -4 2bw'
_cell_length_a 6.815
_cell_length_b 6.815
_cell_length_c 5.363
_cell_angle_alpha 90.00
_cell_angle_beta 90.00
_cell_angle_gamma 90.00
loop_
_atom_site_label
_atom_site_type_symbol
_atom_site_fract_x
_atom_site_fract_y
_atom_site_fract_z
Mn1 Mn 0.238 0.250 0.125
Nb1 Nb 0.000 0.000 0.500
W1 W 0.000 0.000 0.000
```

Values from the calculation:
- theoretical density (g/cm3) = 10.31
- total magnetization (μB/atom) = 0.8936
- energy of formation from the pure elements (eV per atom) = 0.6508

=====

# 5
Cr2FePt | PBE-GGA | optimized geometry

```
data_Cr2FePt
_space_group_name_H-M_alt 'R -3 m'
_space_group_IT_number 166
_space_group_name_Hall '-R 3 2"'
_cell_length_a 2.6118
_cell_length_b 2.6118
_cell_length_c 25.4222
_cell_angle_alpha 90.00
_cell_angle_beta 90.00
_cell_angle_gamma 120.00
loop_
_atom_site_label
_atom_site_type_symbol
_atom_site_fract_x
_atom_site_fract_y
_atom_site_fract_z
Cr1 Cr 0.0000 0.0000 0.2444
Fe1 Fe 0.0000 0.0000 0.5000
Pt1 Pt 0.0000 0.0000 0.0000
```

Values from the calculation:
- theoretical density (g/cm3) = 11.77
- total magnetization (μB/atom) = 0.0901
- energy of formation from the pure elements (eV per atom) = 0.1157

=====

# 6
VGaFe14 | PBE-GGA | optimized geometry

```
data_VGaFe14
_space_group_name_H-M_alt 'C m m m'
_space_group_IT_number 65
_space_group_name_Hall '-C 2 2'
_cell_length_a 5.750
_cell_length_b 8.066
_cell_length_c 8.065
_cell_angle_alpha 90.00
_cell_angle_beta 90.00
_cell_angle_gamma 90.00
loop_
_atom_site_label
_atom_site_type_symbol
_atom_site_fract_x
_atom_site_fract_y
_atom_site_fract_z
V1 V 0.000 0.000 0.000
Ga1 Ga 0.000 0.500 0.000
Fe1 Fe 0.000 0.000 0.500
Fe2 Fe 0.000 0.252 0.250
Fe3 Fe 0.000 0.500 0.500
Fe4 Fe 0.247 0.000 0.254
Fe5 Fe 0.250 0.250 0.000
Fe6 Fe 0.250 0.250 0.500
```

Values from the calculation:
- theoretical density (g/cm3) = 8.01
- total magnetization (μB/atom) = 1.8613
- energy of formation from the pure elements (eV per atom) = -0.0543

=====

# 7
SrSc2W | PBE-GGA | optimized geometry

```
data_SrSc2W
_space_group_name_H-M_alt 'R 3 m'
_space_group_IT_number 160
_space_group_name_Hall 'R 3 -2"'
_cell_length_a 3.1913
_cell_length_b 3.1913
_cell_length_c 32.9682
_cell_angle_alpha 90.00
_cell_angle_beta 90.00
_cell_angle_gamma 120.00
loop_
_atom_site_label
_atom_site_type_symbol
_atom_site_fract_x
_atom_site_fract_y
_atom_site_fract_z
Sr1 Sr 0.0000 0.0000 0.0000
Sc1 Sc 0.0000 0.0000 0.2332
Sc2 Sc 0.0000 0.0000 0.4836
W1 W 0.0000 0.0000 0.7485
```

Values from the calculation:
- theoretical density (g/cm3) = 6.19
- total magnetization (μB/atom) = 0.2155
- offset from the most stable computed form (eV/f.u.) = 1.47
- energy of formation from the pure elements (eV per atom) = 0.7296